A plane-wave DFT calculation with GGA-PBE was carried out for a relaxed structure of NdBeSb.

## Properties
Uncorrected formation energy in eV per atom: 0.06
DOS at the Fermi energy in states/eV per atom: 0.982
Final energy in eV per atom: -4.143
Total moment in Bohr magnetons per cell: 0.0

Cell: 6.4392 6.4392 12.2003 Å, 90.00 90.00 120.00°
Closest atoms and distances in Å follow each position.
Space group P6_222 (No. 180)
One atom of each set of equivalent atoms:
Nd 0.0000 0.5000 0.3915 x6  4 Be 2.75-2.92
Be 0.1782 0.5891 0.1667 x6  1 Be 1.99
Sb 0.0000 0.0000 0.1667 x3  4 Be 3.37, 4 Nd 3.48
Sb 0.0000 0.5000 0.6667 x3  4 Be 3.15, 6 Nd 3.30-3.36



A plane-wave DFT calculation with GGA-PBE was carried out for a relaxed structure of MgOsCl2.

## Properties
Relative energy among the computed polymorphs in eV/atom: 0.536
Uncorrected formation energy in eV per atom: 0.32
DOS at the Fermi energy in states/eV per atom: 0.460
Final energy in eV per atom: -3.811
Total moment in Bohr magnetons per cell: 0.0

Cell: 3.0035 5.6422 9.4996 Å, 90.00 90.00 90.00°
Closest atoms and distances in Å follow each position.
Space group Cmmm (No. 65)
One atom of each set of equivalent atoms:
Mg 0.0000 0.0000 0.0000 x2  6 Mg 3.00-3.20, 4 Cl 3.25
Os 0.0000 0.0000 0.5000 x2  4 Cl 2.39
Cl 0.0000 0.5000 0.3037 x4  2 Os 2.39



A plane-wave DFT calculation with GGA-PBE was carried out for a relaxed structure of Pr8Ru3Br3Cl.

## Properties
Uncorrected formation energy in eV per atom: -0.76
DOS at the Fermi energy in states/eV per atom: 0.710
Final energy in eV per atom: -5.621
Total moment in Bohr magnetons per cell: 0.0

Cell: 8.4788 8.4788 22.3475 Å, 90.00 90.00 120.00°
Closest atoms and distances in Å follow each position.
Space group R-3m (No. 166, hexagonal axes)
One atom of each set of equivalent atoms:
Pr 0.0000 0.0000 0.2345 x6  3 Ru 2.88
Pr 0.0289 0.5145 0.7635 x18  2 Ru 2.82, 1 Cl 3.08
Ru 0.0000 0.5000 0.5000 x9  6 Pr 2.82-2.88
Br 0.0000 0.5000 0.0000 x9  6 Pr 3.30-3.35
Cl 0.0000 0.0000 0.5000 x3  6 Pr 3.08



A plane-wave DFT calculation with GGA-PBE was carried out for a relaxed structure of TaHg2P.

## Properties
DOS at the Fermi energy in states/eV per atom: 0.263
Formation energy in meV per atom: 504
Final energy in eV per atom: -3.963
Total moment in Bohr magnetons per cell: 0.0

Cell: 4.1814 4.1814 8.6409 Å, 90.00 90.00 90.00°
Closest atoms and distances in Å follow each position.
Space group I-4m2 (No. 119)
One atom of each set of equivalent atoms:
Ta 0.0000 0.0000 0.0000 x2  8 Hg 2.96-3.01, 4 P 3.01
Hg 0.0000 0.0000 0.5000 x2  4 Ta 2.96, 4 Hg 3.01, 4 P 3.01
Hg 0.0000 0.5000 0.7500 x2  4 P 2.96, 4 Hg 3.01, 4 Ta 3.01
P 0.0000 0.5000 0.2500 x2  8 Hg 2.96-3.01, 4 Ta 3.01



A plane-wave DFT calculation with GGA-PBE was carried out for a relaxed structure of La6NdHo2Th.

## Properties
DOS at the Fermi energy in states/eV per atom: 1.471
Formation energy in meV per atom: 121
Final energy in eV per atom: -4.970
Total moment in Bohr magnetons per cell: 0.0

Cell: 9.4642 15.1631 10.0162 Å, 90.00 99.45 90.00°
Closest atoms and distances in Å follow each position.
Space group C2/c (No. 15)
One atom of each set of equivalent atoms:
La 0.0717 0.1719 0.4421 x8  5 La 3.47-3.88, 2 Ho 3.51-3.71, 1 Th 3.63
La 0.0965 0.3979 0.6207 x8  3 Ho 3.36-3.51, 3 La 3.40-3.47, 2 Nd 3.46-3.68
La 0.2056 0.2172 0.8113 x8  2 La 3.40-3.77, 1 Th 3.43, 1 Nd 3.47, 1 Ho 3.55
Nd 0.0000 0.4038 0.2500 x4  6 La 3.46-3.68, 2 Ho 3.61
Ho 0.2363 0.0435 0.0517 x8  6 La 3.36-3.71, 2 Th 3.42-3.46, 1 Nd 3.61
Th 0.0000 0.0307 0.7500 x4  4 Ho 3.42-3.46, 4 La 3.43-3.63



A plane-wave DFT calculation with GGA-PBE was carried out for a relaxed structure of CsYMgI6.

## Properties
Uncorrected formation energy in eV per atom: -1.32
DOS at the Fermi energy in states/eV per atom: 0.000
Final energy in eV per atom: -3.345
Total moment in Bohr magnetons per cell: 0.0

Cell: 7.7558 7.7558 8.7782 Å, 90.00 90.00 120.00°
Closest atoms and distances in Å follow each position.
Space group P312 (No. 149)
One atom of each set of equivalent atoms:
Cs 0.0000 0.0000 0.0000 x1  6 I 3.91
Y 0.6667 0.3333 0.5000 x1  6 I 3.05
Mg 0.3333 0.6667 0.5000 x1  6 I 2.96
I 0.0086 0.3751 0.6976 x6  1 Mg 2.96, 1 Y 3.05



A plane-wave DFT calculation with GGA-PBE was carried out for a relaxed structure of Pr2Al5Pd5.

## Properties
DOS at the Fermi energy in states/eV per atom: 0.636
Formation energy in meV per atom: -843
Final energy in eV per atom: -5.363
Total moment in Bohr magnetons per cell: 0.0

Cell: 4.2821 5.4407 9.5556 Å, 90.00 90.00 90.00°
Closest atoms and distances in Å follow each position.
Space group Pmmm (No. 47)
One atom of each set of equivalent atoms:
Pr 0.0000 0.0000 0.0000 x1  10 Pd 3.20-3.46, 8 Al 3.41
Pr 0.0000 0.5000 0.5000 x1  6 Pd 2.97-3.15
Al 0.5000 0.0000 0.5000 x1  4 Pd 2.66, 4 Al 2.84
Al 0.5000 0.2490 0.2392 x4  5 Pd 2.58-2.69, 3 Al 2.71-2.84
Pd 0.0000 0.0000 0.3347 x2  6 Al 2.66-2.69
Pd 0.0000 0.5000 0.1887 x2  4 Al 2.58, 2 Pd 2.80
Pd 0.5000 0.5000 0.0000 x1  4 Al 2.66, 4 Pd 2.80



A plane-wave DFT calculation with GGA-PBE was carried out for a relaxed structure of MoSeIBr2.

## Properties
Relative energy among the computed polymorphs in eV/atom: 0.000
Uncorrected formation energy in eV per atom: 0.11
DOS at the Fermi energy in states/eV per atom: 0.783
Final energy in eV per atom: -3.729
Total moment in Bohr magnetons per cell: 0.4

Cell: 5.1506 5.1506 4.9862 Å, 90.00 90.00 90.00°
Closest atoms and distances in Å follow each position.
Space group P4/mmm (No. 123)
One atom of each set of equivalent atoms:
Mo 0.0000 0.0000 0.0000 x1  2 Se 2.49, 4 Br 2.58
Se 0.0000 0.0000 0.5000 x1  2 Mo 2.49
I 0.5000 0.5000 0.5000 x1  8 Br 3.58, 4 Se 3.64
Br 0.0000 0.5000 0.0000 x2  2 Mo 2.58